[1]
A relaxed Mg5Cd4Rh crystal, computed with GGA-PBE.

Output
calculated density: 5.56 Mg/m³
total moment: 0.0 μB per formula unit
formation energy from the elements: -0.2099 eV/atom
symmetry: No. 123
Fermi-level density of states: 3.61 states/eV/f.u.

Cell lengths 3.2738, 3.2738, 18.7989 Å; angles 90.00, 90.00, 90.00 degrees
Atoms (fractional coordinates):
Mg1 0.5000 0.5000 0.0750
Mg2 0.5000 0.5000 0.2840
Mg3 0.5000 0.5000 0.5000
Mg4 0.5000 0.5000 0.7160
Mg5 0.5000 0.5000 0.9250
Cd1 0.0000 0.0000 0.1780
Cd2 0.0000 0.0000 0.3919
Cd3 0.0000 0.0000 0.6081
Cd4 0.0000 0.0000 0.8220
Rh1 0.0000 0.0000 0.0000

---

[2]
A relaxed MgCd4Rh crystal, computed with GGA-PBE.

Output
calculated density: 7.90 Mg/m³
total moment: 0.0 μB per formula unit
formation energy from the elements: -0.1093 eV/atom
energy above the lowest structure with this stoichiometry: 0 meV/atom
symmetry: No. 15
Fermi-level density of states: 2.57 states/eV/f.u.

Cell lengths 5.1889, 5.7218, 8.7373 Å; angles 70.89, 87.27, 81.65 degrees
Atoms (fractional coordinates):
Mg1 0.2500 0.2886 0.9227
Mg2 0.7500 0.7114 0.0773
Cd1 0.8415 0.2822 0.4002
Cd2 0.8209 0.1096 0.7748
Cd3 0.3415 0.1823 0.5998
Cd4 0.3209 0.3844 0.2252
Cd5 0.1585 0.7178 0.5998
Cd6 0.6585 0.8177 0.4002
Cd7 0.1791 0.8904 0.2252
Cd8 0.6791 0.6156 0.7748
Rh1 0.2500 0.7866 0.9267
Rh2 0.7500 0.2134 0.0733

---

[3]
A relaxed Mg7CdRh4 crystal, computed with GGA-PBE.

Output
calculated density: 5.12 Mg/m³
total moment: 0.0 μB per formula unit
formation energy from the elements: -0.1668 eV/atom
energy above the lowest structure with this stoichiometry: 163 meV/atom
symmetry: No. 12
Fermi-level density of states: 4.53 states/eV/f.u.

Cell lengths 4.8282, 7.8516, 6.7406 Å; angles 77.36, 69.01, 72.09 degrees
Atoms (fractional coordinates):
Mg1 0.7814 0.8714 0.5657
Mg2 0.2186 0.1286 0.4343
Mg3 0.0690 0.6331 0.2290
Mg4 0.9310 0.3669 0.7710
Mg5 0.3180 0.6246 0.7394
Mg6 0.5000 0.0000 0.0000
Mg7 0.6820 0.3754 0.2606
Cd1 0.0000 0.0000 0.0000
Rh1 0.5656 0.2181 0.6506
Rh2 0.4344 0.7819 0.3494
Rh3 0.6908 0.6567 0.9616
Rh4 0.3092 0.3433 0.0384

---

[4]
A relaxed Mg2CdRh crystal, computed with GGA-PBE.

Output
calculated density: 6.02 Mg/m³
total moment: 0.0 μB per formula unit
formation energy from the elements: -0.2197 eV/atom
symmetry: No. 25
Fermi-level density of states: 1.93 states/eV/f.u.

Cell lengths 3.1155, 3.9118, 5.9761 Å; angles 90.00, 90.00, 90.00 degrees
Atoms (fractional coordinates):
Cd1 0.5000 0.5000 0.7371
Mg1 0.0000 0.0000 0.0002
Mg2 0.5000 0.5000 0.2851
Rh1 0.0000 0.0000 0.4775